Fe2CoP: optimized geometry, GGA-PBEsol.

```
data_Fe2CoP
_cell_length_a 2.6321
_cell_length_b 3.9111
_cell_length_c 7.9515
_cell_angle_alpha 90.00
_cell_angle_beta 90.00
_cell_angle_gamma 90.00
_space_group_name_H-M_alt 'I m m 2'
_space_group_IT_number 44
_space_group_name_Hall 'I 2 -2'
loop_
_atom_site_label
_atom_site_type_symbol
_atom_site_fract_x
_atom_site_fract_y
_atom_site_fract_z
_atom_site_occupancy
Fe1 Fe 0.0000 0.0000 0.0000 1
Fe2 Fe 0.0000 0.5000 0.2213 1
Co1 Co 0.0000 0.0000 0.4435 1
P1 P 0.0000 0.5000 0.7233 1
```

Results
Calculated total energy = -8.119 eV/atom
Mass density = 8.18 g/cm³
Formation energy = -255 meV/atom
V = 10.23 A^3/atom